# FeCu2Mo

A crystal of FeCu2Mo relaxed with PBEsol (meta-GGA SCAN, Alexandria via LeMat-Bulk).

Computed properties:
The raw total energy comes out at -20.5545 eV/atom. The energy of formation comes out at 299 meV per atom. The calculation puts the density of states at the Fermi level at 2.9 states/eV/f.u. The energy relative to the lowest polymorph listed for this composition is 72 meV/atom.

a = 8.856 Å, b = 2.570 Å, c = 4.339 Å
α = 90.00°, β = 100.40°, γ = 90.00°
Space group C2/m (No. 12)
Symmetry-distinct sites (fractional):
Fe: 0.000 0.000 0.000 x2
Cu: 0.245 0.500 0.243 x4
Mo: 0.000 0.500 0.500 x2